Below is Be3In after structural relaxation, with properties calculated at the PBE level.

theoretical density: 4.35 g cm⁻³
E above lowest polymorph: 39 meV/atom
energy of formation: 0.272 eV per atom

Cell and atoms, written as CIF:
```
data_Be3In
_chemical_formula_sum 'Be6 In2'
_cell_length_a 3.6499
_cell_length_b 5.6808
_cell_length_c 6.1159
_cell_angle_alpha 66.63
_cell_angle_beta 72.97
_cell_angle_gamma 71.36
_space_group_name_H-M_alt 'P 1'
_space_group_IT_number 1
_space_group_name_Hall 'P 1'
loop_
_atom_site_label
_atom_site_type_symbol
_atom_site_fract_x
_atom_site_fract_y
_atom_site_fract_z
_atom_site_occupancy
Be1 Be 0.0000 0.0000 0.0000 1
Be2 Be 0.1015 0.1401 0.6487 1
Be3 Be 0.2502 0.6754 0.8213 1
Be4 Be 0.4547 0.2699 0.8173 1
Be5 Be 0.6531 0.8830 0.8061 1
Be6 Be 0.8417 0.4472 0.8666 1
In1 In 0.7119 0.2387 0.3156 1
In2 In 0.9607 0.6584 0.4163 1
```



Below is PuScGa after structural relaxation, with properties calculated at the PBE level.

theoretical density: 8.76 g cm⁻³
E above lowest polymorph: 120 meV/atom
energy of formation: -0.229 eV per atom

Cell and atoms, written as CIF:
```
data_PuScGa
_chemical_formula_sum 'Pu2 Sc2 Ga2'
_cell_length_a 3.4126
_cell_length_b 3.4126
_cell_length_c 11.6759
_cell_angle_alpha 90.00
_cell_angle_beta 90.00
_cell_angle_gamma 90.00
_space_group_name_H-M_alt 'I 4 m m'
_space_group_IT_number 107
_space_group_name_Hall 'I 4 -2'
loop_
_atom_site_label
_atom_site_type_symbol
_atom_site_fract_x
_atom_site_fract_y
_atom_site_fract_z
_atom_site_occupancy
Pu1 Pu 0.0000 0.0000 0.0000 1
Sc1 Sc 0.0000 0.0000 0.3012 1
Ga1 Ga 0.0000 0.0000 0.6684 1
```